--- one ---
First-principles (GGA-PBE) data for a relaxed TiCd2Pd8 crystal, as listed in the Alexandria database.

Properties
The total magnetization comes out at 0.00 Bohr magnetons per cell. As for the space-group type: Cmmm, No. 65.

Unit cell a=4.2754 b=6.7758 c=6.7758 alpha=105.98 beta=90.01 gamma=90.01
Element x y z (fractional)
Pd (0.5000, 0.2296, 0.7704)
Pd (0.5000, 0.7704, 0.2296)
Pd (0.9999, 0.7035, 0.9601)
Pd (0.0001, 0.2965, 0.0399)
Pd (0.9999, 0.9601, 0.7035)
Pd (0.0001, 0.0399, 0.2965)
Pd (0.5000, 0.6769, 0.6769)
Pd (0.5000, 0.3231, 0.3231)
Cd (0.0000, 0.3726, 0.6274)
Cd (0.0000, 0.6274, 0.3726)
Ti (0.5000, 0.0000, 0.0000)

---

--- two ---
First-principles (GGA-PBE) data for a relaxed TiCd2Pd8 crystal, as listed in the Alexandria database.

Properties
The total magnetization comes out at 0.00 Bohr magnetons per cell. As for the space-group type: C2/m, No. 12.

Unit cell a=4.0537 b=6.2982 c=7.4699 alpha=105.11 beta=105.74 gamma=90.00
Element x y z (fractional)
Cd (0.7763, 0.3550, 0.5527)
Cd (0.2237, 0.6450, 0.4473)
Ti (0.5000, 0.0000, 0.0000)
Pd (0.9588, 0.2717, 0.9176)
Pd (0.1314, 0.1702, 0.2627)
Pd (0.4120, 0.5560, 0.8241)
Pd (0.0412, 0.7283, 0.0824)
Pd (0.6764, 0.9111, 0.3529)
Pd (0.3236, 0.0889, 0.6471)
Pd (0.8686, 0.8298, 0.7373)
Pd (0.5880, 0.4440, 0.1759)

---

Most stable pick: two. Distance to second place: 18.1 kJ/mol of atoms.

---

--- one ---
First-principles (GGA-PBE) data for a relaxed Ti2Cd2Pd crystal, as listed in the Alexandria database.

Properties
The total magnetization comes out at 3.98 Bohr magnetons per cell. As for the space-group type: P4/mbm, No. 127.

Unit cell a=7.9821 b=7.9821 c=3.0353 alpha=90.00 beta=90.00 gamma=90.00
Site moments in Bohr magnetons follow the coordinates.
Element x y z (fractional)
Pd (0.5000, 0.5000, 0.0000)  0.03
Pd (0.0000, 0.0000, 0.0000)  0.03
Cd (0.8148, 0.3148, 0.5000)  0.02
Cd (0.6852, 0.8148, 0.5000)  0.02
Cd (0.1852, 0.6852, 0.5000)  0.02
Cd (0.3148, 0.1852, 0.5000)  0.02
Ti (0.3898, 0.8898, 0.0000)  0.82
Ti (0.8898, 0.6102, 0.0000)  0.80
Ti (0.6102, 0.1102, 0.0000)  0.82
Ti (0.1102, 0.3898, 0.0000)  0.80

---

--- two ---
First-principles (GGA-PBE) data for a relaxed Ti2Cd2Pd crystal, as listed in the Alexandria database.

Properties
The total magnetization comes out at 0.00 Bohr magnetons per cell. As for the space-group type: P4/mbm, No. 127.

Unit cell a=7.0932 b=7.0932 c=3.7505 alpha=90.00 beta=90.00 gamma=90.00
Element x y z (fractional)
Ti (0.6631, 0.8369, 0.5000)
Ti (0.8369, 0.3369, 0.5000)
Ti (0.1631, 0.6631, 0.5000)
Ti (0.3369, 0.1631, 0.5000)
Pd (0.0000, 0.0000, 0.0000)
Pd (0.5000, 0.5000, 0.0000)
Cd (0.8611, 0.6389, 0.0000)
Cd (0.1389, 0.3611, 0.0000)
Cd (0.3611, 0.8611, 0.0000)
Cd (0.6389, 0.1389, 0.0000)

---

Most stable pick: two. Distance to second place: 11.6 kJ/mol of atoms.

---

--- one ---
First-principles (GGA-PBE) data for a relaxed Ti4CdPd5 crystal, as listed in the Alexandria database.

Properties
The total magnetization comes out at 1.75 Bohr magnetons per cell. As for the space-group type: P4/mmm, No. 123.

Unit cell a=2.8878 b=2.8878 c=19.2002 alpha=90.00 beta=90.00 gamma=90.00
Site moments in Bohr magnetons follow the coordinates.
Element x y z (fractional)
Pd (0.5000, 0.5000, 0.6973)  0.01
Pd (0.5000, 0.5000, 0.8909)  0.01
Pd (0.5000, 0.5000, 0.5000)  0.01
Pd (0.5000, 0.5000, 0.3027)  0.01
Pd (0.5000, 0.5000, 0.1091)  0.01
Ti (0.0000, 0.0000, 0.5985)  0.26
Ti (0.0000, 0.0000, 0.7969)  0.46
Ti (0.0000, 0.0000, 0.4015)  0.26
Ti (0.0000, 0.0000, 0.2031)  0.46
Cd (0.0000, 0.0000, 0.0000)  0.00

---

--- two ---
First-principles (GGA-PBE) data for a relaxed Ti4CdPd5 crystal, as listed in the Alexandria database.

Properties
The total magnetization comes out at 0.00 Bohr magnetons per cell. As for the space-group type: I4, No. 79.

Unit cell a=5.4195 b=6.2828 c=6.2828 alpha=79.28 beta=64.45 gamma=64.45
Element x y z (fractional)
Cd (0.1868, 0.0000, 0.0000)
Pd (0.2268, 0.8249, 0.6196)
Pd (0.6663, 0.0000, 0.0000)
Pd (0.6713, 0.1751, 0.3804)
Pd (0.8464, 0.3804, 0.8249)
Pd (0.0517, 0.6196, 0.1751)
Ti (0.5429, 0.6150, 0.2298)
Ti (0.3876, 0.3850, 0.7702)
Ti (0.1578, 0.2298, 0.3850)
Ti (0.7726, 0.7702, 0.6150)

---

Most stable pick: one. Distance to second place: 26.7 kJ/mol of atoms.

---

--- one ---
First-principles (GGA-PBE) data for a relaxed TiCd3Pd crystal, as listed in the Alexandria database.

Properties
The total magnetization comes out at 2.06 Bohr magnetons per cell. As for the space-group type: Pm-3m, No. 221.

Unit cell a=5.2647 b=5.2647 c=5.2647 alpha=90.00 beta=90.00 gamma=90.00
Site moments in Bohr magnetons follow the coordinates.
Element x y z (fractional)
Pd (0.5000, 0.5000, 0.5000)  -0.05
Ti (0.0000, 0.0000, 0.0000)  1.46
Cd (0.0000, 0.5000, 0.0000)  0.05
Cd (0.0000, 0.0000, 0.5000)  0.01
Cd (0.5000, 0.0000, 0.0000)  0.10

---

--- two ---
First-principles (GGA-PBE) data for a relaxed TiCd3Pd crystal, as listed in the Alexandria database.

Properties
The total magnetization comes out at 0.00 Bohr magnetons per cell. As for the space-group type: Pm-3m, No. 221.

Unit cell a=5.0306 b=5.0306 c=5.0306 alpha=90.00 beta=90.00 gamma=90.00
Element x y z (fractional)
Ti (0.5000, 0.5000, 0.5000)
Cd (0.5000, 0.0000, 0.0000)
Cd (0.0000, 0.0000, 0.5000)
Cd (0.0000, 0.5000, 0.0000)
Pd (0.0000, 0.0000, 0.0000)

---

Most stable pick: two. Distance to second place: 45.0 kJ/mol of atoms.

---

--- one ---
First-principles (GGA-PBE) data for a relaxed TiCd2Pd2 crystal, as listed in the Alexandria database.

Properties
The total magnetization comes out at 0.00 Bohr magnetons per cell. As for the space-group type: P4/mbm, No. 127.

Unit cell a=7.8590 b=7.8590 c=2.9487 alpha=90.00 beta=90.00 gamma=90.00
Element x y z (fractional)
Cd (0.3729, 0.8729, 0.0000)
Cd (0.8729, 0.6271, 0.0000)
Cd (0.1271, 0.3729, 0.0000)
Cd (0.6271, 0.1271, 0.0000)
Pd (0.8269, 0.3269, 0.5000)
Pd (0.6731, 0.8269, 0.5000)
Pd (0.1731, 0.6731, 0.5000)
Pd (0.3269, 0.1731, 0.5000)
Ti (0.5000, 0.5000, 0.0000)
Ti (0.0000, 0.0000, 0.0000)

---

--- two ---
First-principles (GGA-PBE) data for a relaxed TiCd2Pd2 crystal, as listed in the Alexandria database.

Properties
The total magnetization comes out at 0.00 Bohr magnetons per cell. As for the space-group type: P4/mbm, No. 127.

Unit cell a=6.6712 b=6.6712 c=4.1648 alpha=90.00 beta=90.00 gamma=90.00
Element x y z (fractional)
Cd (0.6643, 0.8357, 0.5000)
Cd (0.3357, 0.1643, 0.5000)
Cd (0.1643, 0.6643, 0.5000)
Cd (0.8357, 0.3357, 0.5000)
Pd (0.8582, 0.6418, 0.0000)
Pd (0.3582, 0.8582, 0.0000)
Pd (0.1417, 0.3582, 0.0000)
Pd (0.6418, 0.1417, 0.0000)
Ti (0.5000, 0.5000, 0.0000)
Ti (0.0000, 0.0000, 0.0000)

---

Most stable pick: two. Distance to second place: 12.9 kJ/mol of atoms.

---

--- one ---
First-principles (GGA-PBE) data for a relaxed ZrTiCdPd crystal, as listed in the Alexandria database.

Properties
The total magnetization comes out at 1.77 Bohr magnetons per cell. As for the space-group type: F-43m, No. 216.

Unit cell a=4.7635 b=4.7635 c=4.7635 alpha=60.00 beta=60.00 gamma=60.00
Site moments in Bohr magnetons follow the coordinates.
Element x y z (fractional)
Cd (0.5000, 0.5000, 0.5000)  0.02
Pd (0.0000, 0.0000, 0.0000)  0.17
Zr (0.2500, 0.2500, 0.2500)  0.25
Ti (0.7500, 0.7500, 0.7500)  0.94

---

--- two ---
First-principles (GGA-PBE) data for a relaxed ZrTiCdPd crystal, as listed in the Alexandria database.

Properties
The total magnetization comes out at 0.00 Bohr magnetons per cell. As for the space-group type: P4mm, No. 99.

Unit cell a=3.1028 b=3.1028 c=7.9170 alpha=90.00 beta=90.00 gamma=90.00
Element x y z (fractional)
Zr (0.5000, 0.5000, 0.7944)
Ti (0.0000, 0.0000, 0.5404)
Cd (0.0000, 0.0000, 0.0986)
Pd (0.5000, 0.5000, 0.3513)

---

Most stable pick: two. Distance to second place: 17.4 kJ/mol of atoms.

---

--- one ---
First-principles (GGA-PBE) data for a relaxed Tl2CdPd6 crystal, as listed in the Alexandria database.

Properties
The total magnetization comes out at 0.00 Bohr magnetons per cell. As for the space-group type: C2/m, No. 12.

Unit cell a=2.9846 b=7.7676 c=8.2533 alpha=118.07 beta=100.90 gamma=90.00
Element x y z (fractional)
Pd (0.8344, 0.0232, 0.6681)
Pd (0.1656, 0.9768, 0.3319)
Pd (0.5000, 0.3067, 0.0000)
Pd (0.5000, 0.6933, 0.0000)
Pd (0.8344, 0.6449, 0.6681)
Pd (0.1656, 0.3551, 0.3319)
Cd (0.0000, 0.0000, 0.0000)
Tl (0.6655, 0.6661, 0.3322)
Tl (0.3345, 0.3339, 0.6678)

---

--- two ---
First-principles (GGA-PBE) data for a relaxed Tl2CdPd6 crystal, as listed in the Alexandria database.

Properties
The total magnetization comes out at 0.00 Bohr magnetons per cell. As for the space-group type: P-62m, No. 189.

Unit cell a=3.0049 b=7.8085 c=7.8085 alpha=120.00 beta=90.00 gamma=90.00
Element x y z (fractional)
Pd (0.5000, 0.6373, 0.6373)
Pd (0.5000, 0.0000, 0.3627)
Pd (0.5000, 0.3627, 0.0000)
Pd (0.0000, 0.0000, 0.7012)
Pd (0.0000, 0.2988, 0.2988)
Pd (0.0000, 0.7012, 0.0000)
Tl (0.0000, 0.3333, 0.6667)
Tl (0.0000, 0.6667, 0.3333)
Cd (0.5000, 0.0000, 0.0000)

---

Most stable pick: two. Distance to second place: 6.4 kJ/mol of atoms.

---

--- one ---
First-principles (GGA-PBE) data for a relaxed Tl2CdPd8 crystal, as listed in the Alexandria database.

Properties
The total magnetization comes out at 0.00 Bohr magnetons per cell. As for the space-group type: C2/m, No. 12.

Unit cell a=4.1564 b=6.4696 c=7.5684 alpha=106.22 beta=105.94 gamma=90.00
Element x y z (fractional)
Pd (0.5912, 0.4572, 0.1824)
Pd (0.1393, 0.1876, 0.2786)
Pd (0.4088, 0.5428, 0.8176)
Pd (0.0383, 0.7243, 0.0765)
Pd (0.6759, 0.9108, 0.3519)
Pd (0.3241, 0.0892, 0.6481)
Pd (0.9617, 0.2757, 0.9235)
Pd (0.8607, 0.8124, 0.7214)
Tl (0.7798, 0.3411, 0.5595)
Tl (0.2202, 0.6589, 0.4405)
Cd (0.5000, 0.0000, 0.0000)

---

--- two ---
First-principles (GGA-PBE) data for a relaxed Tl2CdPd8 crystal, as listed in the Alexandria database.

Properties
The total magnetization comes out at 0.00 Bohr magnetons per cell. As for the space-group type: Immm, No. 71.

Unit cell a=4.0517 b=8.0376 c=7.5160 alpha=122.32 beta=105.64 gamma=90.00
Element x y z (fractional)
Pd (0.8318, 0.8318, 0.6637)
Pd (0.3333, 0.5832, 0.6667)
Pd (0.6667, 0.4168, 0.3333)
Pd (0.0000, 0.7552, 0.0000)
Pd (0.3333, 0.0835, 0.6667)
Pd (0.6667, 0.9165, 0.3333)
Pd (0.0000, 0.2448, 0.0000)
Pd (0.1682, 0.1682, 0.3363)
Cd (0.5000, 0.0000, 0.0000)
Tl (0.8437, 0.3437, 0.6874)
Tl (0.1563, 0.6563, 0.3126)

---

Most stable pick: one. Distance to second place: 1.5 kJ/mol of atoms.

---

--- one ---
First-principles (GGA-PBE) data for a relaxed TlCd2Pd3 crystal, as listed in the Alexandria database.

Properties
The total magnetization comes out at 0.00 Bohr magnetons per cell. As for the space-group type: P4/mmm, No. 123.

Unit cell a=3.3350 b=3.3350 c=9.7870 alpha=90.00 beta=90.00 gamma=90.00
Element x y z (fractional)
Pd (0.0000, 0.0000, 0.0000)
Pd (0.0000, 0.0000, 0.6722)
Pd (0.0000, 0.0000, 0.3278)
Cd (0.5000, 0.5000, 0.8380)
Cd (0.5000, 0.5000, 0.1620)
Tl (0.5000, 0.5000, 0.5000)

---

--- two ---
First-principles (GGA-PBE) data for a relaxed TlCd2Pd3 crystal, as listed in the Alexandria database.

Properties
The total magnetization comes out at 0.00 Bohr magnetons per cell. As for the space-group type: Cmmm, No. 65.

Unit cell a=4.7647 b=7.5175 c=6.3904 alpha=90.00 beta=90.00 gamma=71.52
Element x y z (fractional)
Tl (0.3369, 0.3262, 0.0000)
Tl (0.6631, 0.6738, 0.0000)
Pd (0.4999, 0.0000, 0.2553)
Pd (0.5001, 0.0000, 0.7447)
Pd (0.8335, 0.3332, 0.7499)
Pd (0.1667, 0.6668, 0.7499)
Pd (0.1665, 0.6668, 0.2501)
Pd (0.8333, 0.3332, 0.2501)
Cd (0.0000, 0.0000, 0.0000)
Cd (0.3326, 0.3348, 0.5000)
Cd (0.6674, 0.6652, 0.5000)
Cd (0.0000, 0.0000, 0.5000)

---

Most stable pick: two. Distance to second place: 0.9 kJ/mol of atoms.

---

--- one ---
First-principles (GGA-PBE) data for a relaxed Tl3CdPd6 crystal, as listed in the Alexandria database.

Properties
The total magnetization comes out at 0.00 Bohr magnetons per cell. As for the space-group type: P2_1/m, No. 11.

Unit cell a=4.7954 b=7.9870 c=10.3607 alpha=113.97 beta=90.00 gamma=90.00
Element x y z (fractional)
Pd (0.7500, 0.5447, 0.9216)
Pd (0.2500, 0.6705, 0.6767)
Pd (0.7500, 0.7440, 0.5146)
Pd (0.2500, 0.2560, 0.4854)
Pd (0.7500, 0.8419, 0.8179)
Pd (0.2500, 0.1581, 0.1821)
Pd (0.7500, 0.3295, 0.3233)
Pd (0.7500, 0.1353, 0.7201)
Pd (0.2500, 0.0604, 0.8711)
Pd (0.7500, 0.9396, 0.1289)
Pd (0.2500, 0.8647, 0.2799)
Pd (0.2500, 0.4553, 0.0784)
Tl (0.7500, 0.6464, 0.2135)
Tl (0.7500, 0.2134, 0.0202)
Tl (0.7500, 0.4664, 0.6234)
Tl (0.2500, 0.5336, 0.3766)
Tl (0.2500, 0.3536, 0.7865)
Tl (0.2500, 0.7866, 0.9798)
Cd (0.2500, 0.9513, 0.5771)
Cd (0.7500, 0.0487, 0.4229)

---

--- two ---
First-principles (GGA-PBE) data for a relaxed Tl3CdPd6 crystal, as listed in the Alexandria database.

Properties
The total magnetization comes out at 0.00 Bohr magnetons per cell. As for the space-group type: Cmc2_1, No. 36.

Unit cell a=5.5891 b=9.6552 c=9.6552 alpha=124.57 beta=90.00 gamma=90.00
Element x y z (fractional)
Pd (0.6538, 0.9822, 0.0178)
Pd (0.2802, 0.0340, 0.4974)
Pd (0.2802, 0.5026, 0.9660)
Pd (0.6811, 0.6470, 0.6610)
Pd (0.7802, 0.9660, 0.5026)
Pd (0.1811, 0.3530, 0.3390)
Pd (0.5528, 0.2275, 0.7725)
Pd (0.0528, 0.7725, 0.2275)
Pd (0.6811, 0.3390, 0.3530)
Pd (0.7802, 0.4974, 0.0340)
Pd (0.1538, 0.0178, 0.9822)
Pd (0.1811, 0.6610, 0.6470)
Tl (0.9611, 0.0868, 0.3068)
Tl (0.4611, 0.3068, 0.0868)
Tl (0.4611, 0.9132, 0.6932)
Tl (0.9048, 0.6195, 0.3805)
Tl (0.4048, 0.3805, 0.6195)
Tl (0.9611, 0.6932, 0.9132)
Cd (0.5292, 0.8112, 0.1888)
Cd (0.0292, 0.1888, 0.8112)

---

Most stable pick: one. Distance to second place: 13.3 kJ/mol of atoms.

---

--- one ---
First-principles (GGA-PBE) data for a relaxed TmCd3Pd4 crystal, as listed in the Alexandria database.

Properties
The total magnetization comes out at 0.00 Bohr magnetons per cell. As for the space-group type: Imm2, No. 44.

Unit cell a=6.3141 b=6.3141 c=6.3141 alpha=77.84 beta=129.09 gamma=125.46
Element x y z (fractional)
Cd (0.6166, 0.2649, 0.8816)
Cd (0.8309, 0.0000, 0.8309)
Cd (0.6166, 0.7351, 0.3517)
Pd (0.0676, 0.7562, 0.3114)
Pd (0.1147, 0.2326, 0.3473)
Pd (0.1147, 0.7674, 0.8822)
Pd (0.5552, 0.2438, 0.3114)
Tm (0.2346, 0.5000, 0.7346)

---

--- two ---
First-principles (GGA-PBE) data for a relaxed TmCd3Pd4 crystal, as listed in the Alexandria database.

Properties
The total magnetization comes out at 0.00 Bohr magnetons per cell. As for the space-group type: Pmma, No. 51.

Unit cell a=4.7167 b=6.5421 c=9.4319 alpha=90.00 beta=90.00 gamma=90.00
Element x y z (fractional)
Pd (0.5000, 0.7552, 0.5000)
Pd (0.9964, 0.2449, 0.2500)
Pd (0.5000, 0.2448, 0.0000)
Pd (0.5000, 0.7552, 0.0000)
Pd (0.0036, 0.2449, 0.7500)
Pd (0.9964, 0.7551, 0.2500)
Pd (0.0036, 0.7551, 0.7500)
Pd (0.5000, 0.2448, 0.5000)
Cd (0.5026, 0.5000, 0.7500)
Cd (0.4966, 0.0000, 0.2500)
Cd (0.4974, 0.5000, 0.2500)
Cd (0.0000, 0.0000, 0.0000)
Cd (0.0000, 0.0000, 0.5000)
Cd (0.5034, 0.0000, 0.7500)
Tm (0.0000, 0.5000, 0.0000)
Tm (0.0000, 0.5000, 0.5000)

---

Most stable pick: two. Distance to second place: 25.2 kJ/mol of atoms.